Record 1
## LaSm2Zn (PBE)

Data for a geometry-optimized LaSm2Zn structure.

Cell and atoms, written as CIF:
```
data_LaSm2Zn
_chemical_formula_sum 'La4 Sm8 Zn4'
_symmetry_space_group_name_H-M 'F m -3 m'
_symmetry_Int_Tables_number 225
_symmetry_space_group_name_Hall '-F 4 2 3'
_cell_length_a 7.672
_cell_length_b 7.672
_cell_length_c 7.672
_cell_angle_alpha 90.00
_cell_angle_beta 90.00
_cell_angle_gamma 90.00
loop_
_atom_site_label
_atom_site_type_symbol
_atom_site_fract_x
_atom_site_fract_y
_atom_site_fract_z
_atom_site_occupancy
La1 La 0.000 0.000 0.000 1
Sm1 Sm 0.250 0.250 0.250 1
Zn1 Zn 0.000 0.000 0.500 1
```

Calculated values
DOS at the Fermi energy: 6.45 states/eV/f.u.
ρ: 7.4 g/cm3
Final energy: -61.16 eV/cell
Volume: 28.22 Å³/atom
Magnetic moment: 6.0 μB per cell
ΔE_f: 88 meV per atom


Record 2
## Cs2HgCl2F2 (PBE)

Data for a geometry-optimized Cs2HgCl2F2 structure.

Cell and atoms, written as CIF:
```
data_Cs2HgCl2F2
_chemical_formula_sum 'Cs4 Hg2 Cl4 F4'
_symmetry_space_group_name_H-M 'I 4/m m m'
_symmetry_Int_Tables_number 139
_symmetry_space_group_name_Hall '-I 4 2'
_cell_length_a 5.002
_cell_length_b 5.002
_cell_length_c 16.314
_cell_angle_alpha 90.00
_cell_angle_beta 90.00
_cell_angle_gamma 90.00
loop_
_atom_site_label
_atom_site_type_symbol
_atom_site_fract_x
_atom_site_fract_y
_atom_site_fract_z
_atom_site_occupancy
Cs1 Cs 0.000 0.000 0.122 1
Hg1 Hg 0.000 0.000 0.500 1
Cl1 Cl 0.000 0.000 0.346 1
F1 F 0.000 0.500 0.000 1
```

Calculated values
DOS at the Fermi energy: 0.00 states/eV/f.u.
ρ: 4.7 g/cm3
Final energy: -44.67 eV/cell
Volume: 29.15 Å³/atom
Magnetic moment: 0.0 μB per cell
Energy relative to the elements, uncorrected: -178 kJ per mole of atoms


Record 3
## HoSc2Cu (PBE)

Data for a geometry-optimized HoSc2Cu structure.

Cell and atoms, written as CIF:
```
data_HoSc2Cu
_chemical_formula_sum 'Ho3 Sc6 Cu3'
_symmetry_space_group_name_H-M 'R -3 m'
_symmetry_Int_Tables_number 166
_symmetry_space_group_name_Hall '-R 3 2"'
_cell_length_a 3.4018
_cell_length_b 3.4018
_cell_length_c 28.1853
_cell_angle_alpha 90.00
_cell_angle_beta 90.00
_cell_angle_gamma 120.00
loop_
_atom_site_label
_atom_site_type_symbol
_atom_site_fract_x
_atom_site_fract_y
_atom_site_fract_z
_atom_site_occupancy
Ho1 Ho 0.0000 0.0000 0.0000 1
Sc1 Sc 0.0000 0.0000 0.2337 1
Cu1 Cu 0.0000 0.0000 0.5000 1
```

Calculated values
DOS at the Fermi energy: 5.77 states/eV/f.u.
ρ: 5.6 g/cm3
Final energy: -63.31 eV/cell
Volume: 23.54 Å³/atom
Magnetic moment: 0.0 μB per cell
ΔE_f: 58 meV per atom


Q: What is the volume in the third record?
A: 23.54 Å³/atom